Crystalline Ho4Mg5In2 at its relaxed geometry, computed with PBE-GGA.

Its energy of formation is -1.6 eV/f.u.

The space group is P2/m (No. 10) and the conventional cell measures 8.043, 3.504 and 10.420 Å, with angles of 90.00, 94.12 and 90.00 degrees. Symmetry generates all atoms from Ho at (0.158, 0.000, 0.386), Ho at (0.278, 0.000, 0.944), Mg at (0.197, 0.500, 0.663), Mg at (0.433, 0.500, 0.206), Mg at (0.500, 0.500, 0.500) and In at (0.059, 0.500, 0.138).

=====

Crystalline La6TbSm5 at its relaxed geometry, computed with PBE-GGA.

Its energy of formation is 0.2 eV/f.u.

The space group is P2/m (No. 10) and the conventional cell measures 6.338, 7.388 and 9.024 Å, with angles of 90.00, 90.75 and 90.00 degrees. Symmetry generates all atoms from La at (0.000, 0.249, 0.000), La at (0.334, 0.249, 0.667), Tb at (0.500, 0.000, 0.000), Sm at (0.166, 0.500, 0.333), Sm at (0.167, 0.000, 0.333) and Sm at (0.500, 0.500, 0.000).

=====

Crystalline VCrCuBr at its relaxed geometry, computed with PBE-GGA.

The calculation puts the polymorph energy (0 for the lowest one) at 24 meV per atom.

The space group is Cm (No. 8) and the conventional cell measures 5.074, 3.108 and 8.464 Å, with angles of 90.00, 105.72 and 90.00 degrees. Symmetry generates all atoms from V at (0.000, 0.000, 0.000), Cr at (0.409, 0.000, 0.792), Cu at (0.461, 0.500, 0.561) and Br at (0.278, 0.500, 0.230).

=====

Crystalline SrLuAgGe at its relaxed geometry, computed with PBE-GGA.

Its energy of formation is -1.6 eV/f.u.

The space group is F-43m (No. 216) and the conventional cell measures 7.375, 7.375 and 7.375 Å, with angles of 90.00, 90.00 and 90.00 degrees. Symmetry generates all atoms from Sr at (0.000, 0.000, 0.000), Lu at (0.000, 0.000, 0.500), Ag at (0.250, 0.250, 0.750) and Ge at (0.250, 0.250, 0.250).

=====

Crystalline BaSmSnHg at its relaxed geometry, computed with PBE-GGA.

Its energy of formation is -1.9 eV/f.u.

The space group is F-43m (No. 216) and the conventional cell measures 8.039, 8.039 and 8.039 Å, with angles of 90.00, 90.00 and 90.00 degrees. Symmetry generates all atoms from Ba at (0.000, 0.000, 0.000), Sm at (0.000, 0.000, 0.500), Sn at (0.250, 0.250, 0.250) and Hg at (0.250, 0.250, 0.750).

=====

Crystalline Na2Sb5Pd3 at its relaxed geometry, computed with PBE-GGA.

The calculation puts the polymorph energy (0 for the lowest one) at 31 meV per atom.

The space group is Ibam (No. 72) and the conventional cell measures 11.410, 12.575 and 6.832 Å, with angles of 90.00, 90.00 and 90.00 degrees. Symmetry generates all atoms from Na at (0.233, 0.147, 0.000), Sb at (0.000, 0.000, 0.250), Sb at (0.000, 0.269, 0.250), Sb at (0.159, 0.410, 0.000), Pd at (0.000, 0.500, 0.250) and Pd at (0.115, 0.139, 0.500).

=====

Crystalline Er6C2Se at its relaxed geometry, computed with PBE-GGA.

The calculation puts the raw total energy at -0.444 Ry/atom.

The space group is C2/m (No. 12) and the conventional cell measures 15.827, 3.649 and 7.616 Å, with angles of 90.00, 102.11 and 90.00 degrees. Symmetry generates all atoms from Er at (0.014, 0.000, 0.278), Er at (0.170, 0.500, 0.564), Er at (0.179, 0.500, 0.127), C at (0.169, 0.000, 0.339) and Se at (0.000, 0.500, 0.000).

=====

Crystalline Ag2OsPt at its relaxed geometry, computed with PBE-GGA.

Its energy of formation is 2.2 eV/f.u. The calculation puts the polymorph energy (0 for the lowest one) at 302 meV per atom.

The space group is Cmmm (No. 65) and the conventional cell measures 5.517, 8.795 and 2.680 Å, with angles of 90.00, 90.00 and 90.00 degrees. Symmetry generates all atoms from Ag at (0.250, 0.250, 0.000), Os at (0.000, 0.000, 0.500) and Pt at (0.000, 0.500, 0.500).

=====

Crystalline FeCuAs2 at its relaxed geometry, computed with PBE-GGA.

Its energy of formation is 0.7 eV/f.u. The calculation puts the polymorph energy (0 for the lowest one) at 103 meV per atom.

The space group is P2/m (No. 10) and the conventional cell measures 4.024, 3.115 and 5.097 Å, with angles of 90.00, 109.50 and 90.00 degrees. Symmetry generates all atoms from Fe at (0.000, 0.000, 0.000), Cu at (0.500, 0.500, 0.500), As at (0.000, 0.000, 0.500) and As at (0.500, 0.500, 0.000).

=====

Crystalline TiMnCr at its relaxed geometry, computed with PBE-GGA.

Its energy of formation is -0.6 eV/f.u. The calculation puts the polymorph energy (0 for the lowest one) at 0 meV per atom.

The space group is Imma (No. 74) and the conventional cell measures 4.780, 4.868 and 6.729 Å, with angles of 90.00, 90.00 and 90.00 degrees. Symmetry generates all atoms from Ti at (0.000, 0.250, 0.127), Mn at (0.000, 0.000, 0.500) and Cr at (0.250, 0.250, 0.750).